Entry 1:
# RbSnHg14

RbSnHg14 after structural relaxation (PBE-GGA, Alexandria).

a = 7.013 Å, b = 7.013 Å, c = 9.445 Å
α = 90.00°, β = 90.00°, γ = 90.00°
Atoms (fractional coordinates):
Rb  0.000  0.000  0.000
Sn  0.500  0.500  0.000
Hg  0.000  0.000  0.500
Hg  0.000  0.500  0.000
Hg  0.000  0.500  0.500
Hg  0.260  0.260  0.260
Hg  0.260  0.260  0.740
Hg  0.260  0.740  0.260
Hg  0.260  0.740  0.740
Hg  0.500  0.000  0.000
Hg  0.500  0.000  0.500
Hg  0.500  0.500  0.500
Hg  0.740  0.260  0.260
Hg  0.740  0.260  0.740
Hg  0.740  0.740  0.260
Hg  0.740  0.740  0.740

**Energy of formation from the pure elements**: -0.023 eV per atom
**Crystal system**: tetragonal

***

Entry 2:
# LiGaI2N

LiGaI2N after structural relaxation (PBE-GGA, Alexandria).

a = 5.875 Å, b = 5.875 Å, c = 3.729 Å
α = 90.00°, β = 90.00°, γ = 90.00°
Atoms (fractional coordinates):
Li  0.000  0.000  0.000
Ga  0.500  0.500  0.500
I  0.000  0.500  0.500
I  0.500  0.000  0.500
N  0.500  0.500  0.000

**Energy relative to the elements, uncorrected**: 0.08 eV/atom
**ΔE to the lowest computed polymorph**: 0.000 eV per atom
**Crystal system**: tetragonal

***

Entry 3:
# Pm2ReGe4

Pm2ReGe4 after structural relaxation (PBE-GGA, Alexandria).

a = 6.031 Å, b = 6.239 Å, c = 8.618 Å
α = 90.00°, β = 109.68°, γ = 90.00°
Atoms (fractional coordinates):
Pm  0.207  0.250  0.406
Pm  0.235  0.250  0.963
Pm  0.765  0.750  0.037
Pm  0.793  0.750  0.594
Re  0.359  0.750  0.219
Re  0.641  0.250  0.781
Ge  0.154  0.750  0.418
Ge  0.178  0.750  0.920
Ge  0.366  0.545  0.715
Ge  0.366  0.955  0.715
Ge  0.634  0.045  0.285
Ge  0.634  0.455  0.285
Ge  0.822  0.250  0.080
Ge  0.846  0.250  0.582

**Energy of formation from the pure elements**: -0.445 eV per atom
**Crystal system**: monoclinic

***

Entry 4:
# TbTmCoPd

TbTmCoPd after structural relaxation (PBE-GGA, Alexandria).

a = 4.825 Å, b = 4.825 Å, c = 4.825 Å
α = 60.00°, β = 60.00°, γ = 60.00°
Atoms (fractional coordinates):
Tb  0.000  0.000  0.000
Tm  0.500  0.500  0.500
Co  0.250  0.250  0.250
Pd  0.750  0.750  0.750

**Energy of formation from the pure elements**: -0.510 eV per atom
**Crystal system**: cubic

***

Entry 5:
# Gd3YO

Gd3YO after structural relaxation (PBE-GGA, Alexandria).

a = 5.002 Å, b = 5.002 Å, c = 5.002 Å
α = 90.00°, β = 90.00°, γ = 90.00°
Atoms (fractional coordinates):
Gd  0.000  0.000  0.500
Gd  0.000  0.500  0.000
Gd  0.500  0.000  0.000
Y  0.500  0.500  0.500
O  0.000  0.000  0.000

**Energy relative to the elements, uncorrected**: -1.08 eV/atom
**Crystal system**: cubic

***

Entry 6:
# MoOs2Cl

MoOs2Cl after structural relaxation (PBE-GGA, Alexandria).

a = 3.567 Å, b = 3.567 Å, c = 5.123 Å
α = 90.00°, β = 90.00°, γ = 90.00°
Atoms (fractional coordinates):
Mo  0.000  0.000  0.000
Os  0.000  0.500  0.500
Os  0.500  0.000  0.500
Cl  0.500  0.500  0.000

**Energy relative to the elements, uncorrected**: 1.38 eV/atom
**ΔE to the lowest computed polymorph**: 0.907 eV per atom
**Crystal system**: tetragonal

***

One value per record, in order, for M_tot: 0.0, 1.0, 0.0, 0.1, 22.0, 1.0 μB/f.u..